A geometry-optimized Ga3BiC structure, computed with GGA-PBEsol.

Computed properties:
crystal system = cubic
energy of formation = 2073 meV per atom
density of states at the Fermi level = 3.5 states/eV per cell
total magnetic moment = 0.42 μB per atom
space-group type = Pm-3m

Cell: 5.6242 5.6242 5.6242 Å, 90.00 90.00 90.00°
Closest atoms and distances in Å follow each position.
Fractional coordinates of all 5 atoms:
C 0.5000 0.5000 0.5000  12 Ga 3.98
Bi 0.0000 0.0000 0.0000  6 Ga 2.81
Ga 0.5000 0.0000 0.0000  2 Bi 2.81
Ga 0.0000 0.5000 0.0000  2 Bi 2.81
Ga 0.0000 0.0000 0.5000  2 Bi 2.81